Compound: PaFeSi2Mo
Source: the Alexandria database
Functional: GGA-PBE
Structure: optimized geometry

Cell: 3.992 3.992 10.441 Å, 90.00 90.00 90.00°
Space group I-4m2 (No. 119)
Asymmetric unit:
Pa: 0.000 0.000 0.000 [2 per cell]
Fe: 0.000 0.500 0.750 [2 per cell]
Si: 0.000 0.000 0.385 [4 per cell]
Mo: 0.000 0.500 0.250 [2 per cell]

Values from the calculation:
For the total energy, the calculation gives -8.35 eV per atom. The volume comes out at 16.64 Å³ per atom. The value obtained for the total magnetization is 4.93 μB/cell.

---

Compound: FeMoPb2
Source: the Alexandria database
Functional: GGA-PBE
Structure: optimized geometry

Cell: 3.231 4.739 11.393 Å, 90.00 90.00 90.00°
Space group Imm2 (No. 44)
Asymmetric unit:
Fe: 0.000 0.000 0.000 [2 per cell]
Mo: 0.000 0.500 0.652 [2 per cell]
Pb: 0.000 0.000 0.439 [2 per cell]
Pb: 0.000 0.500 0.217 [2 per cell]

Values from the calculation:
As for the formation energy: 0.66 eV/atom. The volume comes out at 21.80 Å³ per atom. For the distance to the lowest polymorph of the same formula, the calculation gives 291 meV per atom. The value obtained for the total magnetization is 3.67 μB/cell.

---

Compound: Fe2MoPb
Source: the Alexandria database
Functional: GGA-PBE
Structure: optimized geometry

Cell: 8.652 3.061 5.051 Å, 90.00 99.77 90.00°
Space group C2/m (No. 12)
Asymmetric unit:
Fe: 0.240 0.000 0.186 [4 per cell]
Mo: 0.000 0.500 0.000 [2 per cell]
Pb: 0.000 0.000 0.500 [2 per cell]

Values from the calculation:
As for the formation energy: 0.56 eV/atom. The volume comes out at 16.48 Å³ per atom. The value obtained for the total magnetization is 7.74 μB/cell.

---

Compound: FeMoPb2
Source: the Alexandria database
Functional: GGA-PBE
Structure: optimized geometry

Cell: 7.517 7.517 5.929 Å, 90.00 90.00 90.00°
Space group I-42d (No. 122)
Asymmetric unit:
Fe: 0.000 0.000 0.000 [4 per cell]
Mo: 0.000 0.000 0.500 [4 per cell]
Pb: 0.219 0.250 0.125 [8 per cell]

Values from the calculation:
As for the formation energy: 1.20 eV/atom. The volume comes out at 20.94 Å³ per atom. For the distance to the lowest polymorph of the same formula, the calculation gives 836 meV per atom. The value obtained for the total magnetization is 6.95 μB/cell.

---

Compound: Fe2MoPb
Source: the Alexandria database
Functional: GGA-PBE
Structure: optimized geometry

Cell: 3.0218 3.0218 25.6355 Å, 90.00 90.00 120.00°
Space group R3m (No. 160, hexagonal axes)
Asymmetric unit:
Fe: 0.0000 0.0000 0.0000 [3 per cell]
Fe: 0.0000 0.0000 0.2647 [3 per cell]
Mo: 0.0000 0.0000 0.7389 [3 per cell]
Pb: 0.0000 0.0000 0.5047 [3 per cell]

Values from the calculation:
As for the formation energy: 0.66 eV/atom. The volume comes out at 16.89 Å³ per atom. The value obtained for the total magnetization is 14.39 μB/cell.

---

Compound: Fe2MoPb
Source: the Alexandria database
Functional: GGA-PBE
Structure: optimized geometry

Cell: 3.328 3.328 5.904 Å, 90.00 90.00 90.00°
Space group P4/mmm (No. 123)
Asymmetric unit:
Fe: 0.000 0.000 0.204 [2 per cell]
Mo: 0.500 0.500 0.000 [1 per cell]
Pb: 0.500 0.500 0.500 [1 per cell]

Values from the calculation:
As for the formation energy: 0.46 eV/atom. The volume comes out at 16.35 Å³ per atom. The value obtained for the total magnetization is 4.97 μB/cell.

---

Compound: Fe2MoPb
Source: the Alexandria database
Functional: GGA-PBE
Structure: optimized geometry

Cell: 3.023 3.023 7.164 Å, 90.00 90.00 90.00°
Space group P4mm (No. 99)
Asymmetric unit:
Fe: 0.000 0.000 0.000 [1 per cell]
Fe: 0.500 0.500 0.183 [1 per cell]
Mo: 0.000 0.000 0.386 [1 per cell]
Pb: 0.500 0.500 0.707 [1 per cell]

Values from the calculation:
As for the formation energy: 0.46 eV/atom. The volume comes out at 16.36 Å³ per atom. The value obtained for the total magnetization is 4.77 μB/cell.

---

Compound: FeMo2Pb
Source: the Alexandria database
Functional: GGA-PBE
Structure: optimized geometry

Cell: 2.930 4.083 5.787 Å, 90.00 94.49 90.00°
Space group P2/m (No. 10)
Asymmetric unit:
Fe: 0.000 0.000 0.000 [1 per cell]
Mo: 0.417 0.500 0.201 [2 per cell]
Pb: 0.000 0.000 0.500 [1 per cell]

Values from the calculation:
As for the formation energy: 0.55 eV/atom. The volume comes out at 17.25 Å³ per atom. The value obtained for the total magnetization is 1.90 μB/cell.

---

Compound: FeMoPb2
Source: the Alexandria database
Functional: GGA-PBE
Structure: optimized geometry

Cell: 3.2495 3.2495 26.6529 Å, 90.00 90.00 120.00°
Space group R-3m (No. 166, hexagonal axes)
Asymmetric unit:
Fe: 0.0000 0.0000 0.0000 [3 per cell]
Mo: 0.0000 0.0000 0.5000 [3 per cell]
Pb: 0.0000 0.0000 0.2515 [6 per cell]

Values from the calculation:
As for the formation energy: 0.80 eV/atom. The volume comes out at 20.31 Å³ per atom. For the distance to the lowest polymorph of the same formula, the calculation gives 430 meV per atom. The value obtained for the total magnetization is 9.74 μB/cell.

---

Compound: FeMoPb2
Source: the Alexandria database
Functional: GGA-PBE
Structure: optimized geometry

Cell: 6.704 6.704 6.704 Å, 90.00 90.00 90.00°
Space group Fm-3m (No. 225)
Asymmetric unit:
Fe: 0.000 0.000 0.000 [4 per cell]
Mo: 0.000 0.000 0.500 [4 per cell]
Pb: 0.250 0.250 0.250 [8 per cell]

Values from the calculation:
As for the formation energy: 0.95 eV/atom. The volume comes out at 18.83 Å³ per atom. For the distance to the lowest polymorph of the same formula, the calculation gives 578 meV per atom. The value obtained for the total magnetization is 0.00 μB/cell.

---

Compound: FeMoPb2
Source: the Alexandria database
Functional: GGA-PBE
Structure: optimized geometry

Cell: 3.548 3.548 6.309 Å, 90.00 90.00 90.00°
Space group P4/mmm (No. 123)
Asymmetric unit:
Fe: 0.000 0.000 0.000 [1 per cell]
Mo: 0.000 0.000 0.500 [1 per cell]
Pb: 0.500 0.500 0.248 [2 per cell]

Values from the calculation:
As for the formation energy: 0.79 eV/atom. The volume comes out at 19.85 Å³ per atom. For the distance to the lowest polymorph of the same formula, the calculation gives 427 meV per atom. The value obtained for the total magnetization is 3.56 μB/cell.

---

Compound: FeMo2Pb
Source: the Alexandria database
Functional: GGA-PBE
Structure: optimized geometry

Cell: 3.759 3.759 19.798 Å, 90.00 90.00 90.00°
Space group I-42d (No. 122)
Asymmetric unit:
Fe: 0.000 0.000 0.000 [4 per cell]
Mo: 0.239 0.250 0.125 [8 per cell]
Pb: 0.000 0.000 0.500 [4 per cell]

Values from the calculation:
As for the formation energy: 0.99 eV/atom. The volume comes out at 17.48 Å³ per atom. The value obtained for the total magnetization is 0.01 μB/cell.

---

Compound: Fe2MoPb
Source: the Alexandria database
Functional: GGA-PBE
Structure: optimized geometry

Cell: 8.812 3.104 4.838 Å, 90.00 104.26 90.00°
Space group Cm (No. 8)
Asymmetric unit:
Fe: 0.000 0.000 0.000 [2 per cell]
Fe: 0.227 0.500 0.208 [2 per cell]
Mo: 0.258 0.000 0.813 [2 per cell]
Pb: 0.487 0.000 0.481 [2 per cell]

Values from the calculation:
As for the formation energy: 0.53 eV/atom. The volume comes out at 16.03 Å³ per atom. The value obtained for the total magnetization is 7.80 μB/cell.

---

Compound: FeMo2Pb
Source: the Alexandria database
Functional: GGA-PBE
Structure: optimized geometry

Cell: 3.502 4.256 4.461 Å, 90.00 90.00 90.00°
Space group Pmmm (No. 47)
Asymmetric unit:
Fe: 0.000 0.000 0.000 [1 per cell]
Mo: 0.000 0.500 0.500 [1 per cell]
Mo: 0.500 0.000 0.500 [1 per cell]
Pb: 0.500 0.500 0.000 [1 per cell]

Values from the calculation:
As for the formation energy: 0.57 eV/atom. The volume comes out at 16.62 Å³ per atom. The value obtained for the total magnetization is 2.23 μB/cell.

---

Compound: FeMoPb2
Source: the Alexandria database
Functional: GGA-PBE
Structure: optimized geometry

Cell: 3.141 3.141 8.884 Å, 90.00 90.00 90.00°
Space group P4mm (No. 99)
Asymmetric unit:
Fe: 0.000 0.000 0.000 [1 per cell]
Mo: 0.500 0.500 0.135 [1 per cell]
Pb: 0.000 0.000 0.387 [1 per cell]
Pb: 0.500 0.500 0.772 [1 per cell]

Values from the calculation:
As for the formation energy: 0.37 eV/atom. The volume comes out at 21.91 Å³ per atom. For the distance to the lowest polymorph of the same formula, the calculation gives 0 meV per atom. The value obtained for the total magnetization is 1.36 μB/cell.